1.
## KCuSb (PBE)

Data for a relaxed structure of KCuSb.

E_form (uncorrected): -0.0331 eV per atom
ρ: 4.30 g/cm³
Relative energy among the computed polymorphs: 175 meV/atom
Symmetry: Imm2 (44)

a = 6.6442 Å, b = 6.6442 Å, c = 6.6442 Å
α = 149.12°, β = 144.69°, γ = 47.60°
Last column: nearest neighbours and their distance in Å.
Fractional positions:
K 0.0000 0.0000 0.0000  1 Cu 3.16, 1 Sb 3.41, 2 K 3.54
Cu 0.2600 0.2600 0.0000  4 Sb 2.73
Sb 0.7192 0.7192 0.0000  4 Cu 2.73


2.
## KCuSb2 (PBE)

Data for a relaxed structure of KCuSb2.

E_form (uncorrected): 0.2048 eV per atom
ρ: 5.01 g/cm³
Relative energy among the computed polymorphs: 314 meV/atom
Symmetry: Imm2 (44)

a = 5.9955 Å, b = 5.9955 Å, c = 5.9955 Å
α = 139.73°, β = 122.84°, γ = 72.22°
Last column: nearest neighbours and their distance in Å.
Fractional positions:
K 0.0000 0.0000 0.0000  4 Cu 3.46-3.56, 8 Sb 3.47-3.55
Cu 0.7004 0.2004 0.5000  2 Sb 2.66
Sb 0.2983 0.7983 0.5000  2 Sb 3.03
Sb 0.5277 0.5277 0.0000  2 Cu 2.66


3.
## KCuSb2 (PBE)

Data for a relaxed structure of KCuSb2.

E_form (uncorrected): 0.0893 eV per atom
ρ: 5.01 g/cm³
Relative energy among the computed polymorphs: 199 meV/atom
Symmetry: Pmm2 (25)

a = 3.2389 Å, b = 5.0408 Å, c = 7.0238 Å
α = 90.00°, β = 90.00°, γ = 90.00°
Last column: nearest neighbours and their distance in Å.
Fractional positions:
K 0.0000 0.0000 0.0000  2 K 3.24, 6 Sb 3.59-3.60
Cu 0.5000 0.5000 0.3350  3 Sb 2.66-2.67
Sb 0.5000 0.0000 0.4560  2 Cu 2.66
Sb 0.5000 0.5000 0.7149  1 Cu 2.67


4.
## KCuSb2 (PBE)

Data for a relaxed structure of KCuSb2.

E_form (uncorrected): -0.1094 eV per atom
ρ: 5.18 g/cm³
Relative energy among the computed polymorphs: 0 meV/atom
Symmetry: Pmmm (47)

a = 3.3836 Å, b = 4.3195 Å, c = 7.5993 Å
α = 90.00°, β = 90.00°, γ = 90.00°
Last column: nearest neighbours and their distance in Å.
Fractional positions:
K 0.0000 0.0000 0.0000  2 K 3.38, 8 Sb 3.58
Cu 0.5000 0.0000 0.5000  4 Sb 2.63
Sb 0.5000 0.5000 0.3028  2 Cu 2.63
Sb 0.5000 0.5000 0.6972  2 Cu 2.63


5.
## KCu3Sb2 (PBE)

Data for a relaxed structure of KCu3Sb2.

E_form (uncorrected): -0.1162 eV per atom
ρ: 5.87 g/cm³
Relative energy among the computed polymorphs: 0 meV/atom
Symmetry: C2/m (12)

a = 8.4250 Å, b = 8.4250 Å, c = 8.2868 Å
α = 110.78°, β = 110.78°, γ = 29.29°
Last column: nearest neighbours and their distance in Å.
Fractional positions:
K 0.1549 0.1549 0.0621  7 Sb 3.44-3.70, 4 Cu 3.78-3.81
K 0.8451 0.8451 0.9379  7 Sb 3.44-3.70, 4 Cu 3.78-3.81
Cu 0.0276 0.0276 0.3804  3 Cu 2.46-2.75, 3 Sb 2.58-2.73
Cu 0.3077 0.3077 0.5354  3 Cu 2.59-2.76, 4 Sb 2.62-2.73
Cu 0.4221 0.4221 0.3851  6 Cu 2.56-2.80, 3 Sb 2.66-2.69
Cu 0.5779 0.5779 0.6149  6 Cu 2.56-2.80, 3 Sb 2.66-2.69
Cu 0.6923 0.6923 0.4646  3 Cu 2.59-2.76, 4 Sb 2.62-2.73
Cu 0.9724 0.9724 0.6196  3 Cu 2.46-2.75, 3 Sb 2.58-2.73
Sb 0.1816 0.1816 0.6610  6 Cu 2.62-2.73
Sb 0.4696 0.4696 0.7939  4 Cu 2.58-2.72
Sb 0.5304 0.5304 0.2061  4 Cu 2.58-2.72
Sb 0.8184 0.8184 0.3390  6 Cu 2.62-2.73


6.
## K2Cu2Sb (PBE)

Data for a relaxed structure of K2Cu2Sb.

E_form (uncorrected): 0.0374 eV per atom
ρ: 4.14 g/cm³
Relative energy among the computed polymorphs: 0 meV/atom
Symmetry: P4/mbm (127)

a = 6.9600 Å, b = 6.9600 Å, c = 5.4196 Å
α = 90.00°, β = 90.00°, γ = 90.00°
Last column: nearest neighbours and their distance in Å.
Fractional positions:
K 0.1839 0.3161 0.0000  6 Cu 3.29-3.49, 5 K 3.60-3.62
K 0.3161 0.8161 0.0000  6 Cu 3.29-3.49, 5 K 3.60-3.62
K 0.6839 0.1839 0.0000  6 Cu 3.29-3.49, 5 K 3.60-3.62
K 0.8161 0.6839 0.0000  6 Cu 3.29-3.49, 5 K 3.60-3.62
Cu 0.1274 0.6274 0.5000  1 Cu 2.51, 2 Sb 2.74
Cu 0.3726 0.1274 0.5000  1 Cu 2.51, 2 Sb 2.74
Cu 0.6274 0.8726 0.5000  1 Cu 2.51, 2 Sb 2.74
Cu 0.8726 0.3726 0.5000  1 Cu 2.51, 2 Sb 2.74
Sb 0.0000 0.0000 0.5000  4 Cu 2.74
Sb 0.5000 0.5000 0.5000  4 Cu 2.74


7.
## KCuSb2 (PBE)

Data for a relaxed structure of KCuSb2.

E_form (uncorrected): 0.0123 eV per atom
ρ: 5.28 g/cm³
Relative energy among the computed polymorphs: 122 meV/atom
Symmetry: Cmmm (65)

a = 3.6411 Å, b = 3.6411 Å, c = 8.5743 Å
α = 90.00°, β = 90.00°, γ = 106.68°
Last column: nearest neighbours and their distance in Å.
Fractional positions:
K 0.0000 0.0000 0.0000  4 Sb 3.51, 4 K 3.64
Cu 0.0000 0.0000 0.5000  4 Sb 2.66
Sb 0.5000 0.5000 0.3210  2 Cu 2.66
Sb 0.5000 0.5000 0.6790  2 Cu 2.66


8.
## K2Cu2Sb (PBE)

Data for a relaxed structure of K2Cu2Sb.

E_form (uncorrected): 0.5968 eV per atom
ρ: 4.00 g/cm³
Relative energy among the computed polymorphs: 559 meV/atom
Symmetry: I4/mmm (139)

a = 7.4137 Å, b = 7.4137 Å, c = 7.4137 Å
α = 144.63°, β = 144.63°, γ = 50.88°
Last column: nearest neighbours and their distance in Å.
Fractional positions:
K 0.2500 0.7500 0.5000  4 Cu 3.16, 4 K 3.18
K 0.7500 0.2500 0.5000  4 Cu 3.16, 4 K 3.18
Cu 0.0843 0.0843 0.0000  1 Cu 2.26
Cu 0.9157 0.9157 0.0000  1 Cu 2.26
Sb 0.5000 0.5000 0.0000  8 Cu 3.38